Below is a PBEsol-optimized structure of SrGeRhBr2, with properties calculated at the SCAN level. Values from VASP.

Values from the calculation:
As for the total energy: -117.245 eV per cell.

```
&SYSTEM
  ibrav = 0, nat = 5, ntyp = 4
/
ATOMIC_SPECIES
Sr 87.62 Sr.upf
Ge 72.64 Ge.upf
Rh 102.91 Rh.upf
Br 79.90 Br.upf
ATOMIC_POSITIONS crystal
Sr 0.5000 0.5000 0.5000
Ge 0.5000 0.0000 0.0000
Rh 0.0000 0.0000 0.0000
Br 0.0000 0.0000 0.5000
Br 0.0000 0.5000 0.0000
CELL_PARAMETERS angstrom
-3.5803 3.0013 -0.2472
-3.2102 -3.9225 -1.1294
-0.9318 -0.6947 5.0612
```

Below is a PBEsol-optimized structure of LaSeBr2, with properties calculated at the SCAN level. Values from VASP.

Values from the calculation:
As for the total energy: -106.915 eV per cell.

```
&SYSTEM
  ibrav = 0, nat = 4, ntyp = 3
/
ATOMIC_SPECIES
Br 79.90 Br.upf
La 138.91 La.upf
Se 78.96 Se.upf
ATOMIC_POSITIONS crystal
Br 0.0000 0.0000 0.7703
Br 0.0000 0.0000 0.2297
La 0.5000 0.5000 0.0000
Se 0.5000 0.5000 0.5000
CELL_PARAMETERS angstrom
-2.8650 2.6456 0.2676
-2.6542 -2.8691 -0.0520
0.2766 -0.3771 6.6892
```

Below is a PBEsol-optimized structure of Ba3Sr4, with properties calculated at the SCAN level. Values from VASP.

Values from the calculation:
Its formation energy is 0.02 eV/atom.

```
&SYSTEM
  ibrav = 0, nat = 7, ntyp = 2
/
ATOMIC_SPECIES
Sr 87.62 Sr.upf
Ba 137.33 Ba.upf
ATOMIC_POSITIONS crystal
Sr 0.8597 0.8597 0.7193
Sr 0.1403 0.1403 0.2807
Sr 0.5719 0.5719 0.1438
Sr 0.4281 0.4281 0.8562
Ba 0.0000 0.0000 0.0000
Ba 0.7126 0.7126 0.4252
Ba 0.2874 0.2874 0.5748
CELL_PARAMETERS angstrom
-3.1968 1.2635 -3.3346
-3.2852 -2.7852 2.0941
-1.5372 13.4583 10.0123
```

Below is a PBEsol-optimized structure of LaAgHg, with properties calculated at the SCAN level. Values from VASP.

Values from the calculation:
Its formation energy is -0.55 eV/atom.

```
&SYSTEM
  ibrav = 0, nat = 3, ntyp = 3
/
ATOMIC_SPECIES
Hg 200.59 Hg.upf
Ag 107.87 Ag.upf
La 138.91 La.upf
ATOMIC_POSITIONS crystal
Hg 0.0000 0.3333 0.6667
Ag 0.0000 0.0000 0.0000
La 0.5000 0.6667 0.3333
CELL_PARAMETERS angstrom
-1.5302 -2.0178 -2.3352
2.4125 -3.8793 1.7712
-4.3823 1.2046 1.8306
```

Below is a PBEsol-optimized structure of Ca2AlZn2, with properties calculated at the SCAN level. Values from VASP.

Values from the calculation:
Its formation energy is -0.24 eV/atom.

```
&SYSTEM
  ibrav = 0, nat = 10, ntyp = 3
/
ATOMIC_SPECIES
Zn 65.41 Zn.upf
Ca 40.08 Ca.upf
Al 26.98 Al.upf
ATOMIC_POSITIONS crystal
Zn 0.0000 0.3767 0.8767
Zn 0.0000 0.8767 0.6233
Zn 0.0000 0.6233 0.1233
Zn 0.0000 0.1233 0.3767
Ca 0.5000 0.1801 0.6801
Ca 0.5000 0.6801 0.8199
Ca 0.5000 0.8199 0.3199
Ca 0.5000 0.3199 0.1801
Al 0.0000 0.0000 0.0000
Al 0.0000 0.5000 0.5000
CELL_PARAMETERS angstrom
-1.4628 1.9061 -3.6295
-4.6043 -5.4368 -0.9997
-4.9712 3.5033 3.8434
```

Below is a PBEsol-optimized structure of CaFe2Pt, with properties calculated at the SCAN level. Values from VASP.

Values from the calculation:
Its formation energy is -0.01 eV/atom.

```
&SYSTEM
  ibrav = 0, nat = 4, ntyp = 3
/
ATOMIC_SPECIES
Ca 40.08 Ca.upf
Fe 55.84 Fe.upf
Pt 195.08 Pt.upf
ATOMIC_POSITIONS crystal
Ca 0.0000 0.0000 0.5000
Fe 0.0000 0.5000 0.0000
Fe 0.5000 0.0000 0.0000
Pt 0.5000 0.5000 0.5000
CELL_PARAMETERS angstrom
3.8579 0.0000 0.0000
0.0000 3.8579 0.0000
0.0000 0.0000 4.1586
```